A crystal of SrCa2Ru relaxed with PBEsol. Source: Alexandria, functional SCAN.

Properties
- V (Å³ per atom) = 25.905
- crystal system = cubic
- energy relative to the elements (meV/atom) = 416
- E above lowest polymorph (eV per atom) = 0.1646

Geometry as CIF:
```
data_SrCa2Ru
_chemical_formula_sum 'Sr1 Ca2 Ru1'
_cell_length_a 5.272
_cell_length_b 5.272
_cell_length_c 5.272
_cell_angle_alpha 60.00
_cell_angle_beta 60.00
_cell_angle_gamma 60.00
_symmetry_space_group_name_H-M 'P 1'
_symmetry_Int_Tables_number 1
loop_
_symmetry_equiv_pos_as_xyz
'x,y,z'
loop_
_atom_site_label
_atom_site_fract_x
_atom_site_fract_y
_atom_site_fract_z
Sr1 0.500 0.500 0.500
Ca1 0.750 0.750 0.750
Ca2 0.250 0.250 0.250
Ru1 0.000 0.000 0.000
```

---

A crystal of Sr2CaRu relaxed with PBEsol. Source: Alexandria, functional SCAN.

Properties
- V (Å³ per atom) = 32.748
- crystal system = orthorhombic
- energy relative to the elements (meV/atom) = 325
- E above lowest polymorph (eV per atom) = 0.0024

Geometry as CIF:
```
data_Sr2CaRu
_chemical_formula_sum 'Sr2 Ca1 Ru1'
_cell_length_a 3.623
_cell_length_b 5.656
_cell_length_c 7.220
_cell_angle_alpha 113.06
_cell_angle_beta 104.53
_cell_angle_gamma 90.00
_symmetry_space_group_name_H-M 'P 1'
_symmetry_Int_Tables_number 1
loop_
_symmetry_equiv_pos_as_xyz
'x,y,z'
loop_
_atom_site_label
_atom_site_fract_x
_atom_site_fract_y
_atom_site_fract_z
Ca1 0.580 0.580 0.160
Sr1 0.748 0.248 0.497
Sr2 0.926 0.926 0.852
Ru1 0.246 0.746 0.491
```

---

A crystal of SrCa2Ru relaxed with PBEsol. Source: Alexandria, functional SCAN.

Properties
- V (Å³ per atom) = 31.235
- crystal system = trigonal
- energy relative to the elements (meV/atom) = 408
- E above lowest polymorph (eV per atom) = 0.1560

Geometry as CIF:
```
data_SrCa2Ru
_chemical_formula_sum 'Sr1 Ca2 Ru1'
_cell_length_a 3.659
_cell_length_b 3.659
_cell_length_c 10.982
_cell_angle_alpha 80.41
_cell_angle_beta 80.41
_cell_angle_gamma 60.00
_symmetry_space_group_name_H-M 'P 1'
_symmetry_Int_Tables_number 1
loop_
_symmetry_equiv_pos_as_xyz
'x,y,z'
loop_
_atom_site_label
_atom_site_fract_x
_atom_site_fract_y
_atom_site_fract_z
Sr1 0.000 0.000 0.000
Ru1 0.500 0.500 0.500
Ca1 0.776 0.776 0.673
Ca2 0.224 0.224 0.327
```

---

A crystal of SrCaRu3 relaxed with PBEsol. Source: Alexandria, functional SCAN.

Properties
- V (Å³ per atom) = 21.440
- crystal system = cubic
- energy relative to the elements (meV/atom) = 1787

Geometry as CIF:
```
data_SrCaRu3
_chemical_formula_sum 'Sr1 Ca1 Ru3'
_cell_length_a 4.750
_cell_length_b 4.750
_cell_length_c 4.750
_cell_angle_alpha 90.00
_cell_angle_beta 90.00
_cell_angle_gamma 90.00
_symmetry_space_group_name_H-M 'P 1'
_symmetry_Int_Tables_number 1
loop_
_symmetry_equiv_pos_as_xyz
'x,y,z'
loop_
_atom_site_label
_atom_site_fract_x
_atom_site_fract_y
_atom_site_fract_z
Ca1 0.000 0.000 0.000
Ru1 0.000 0.500 0.000
Ru2 0.500 0.000 0.000
Ru3 0.000 0.000 0.500
Sr1 0.500 0.500 0.500
```

---

A crystal of SrCa2Ru relaxed with PBEsol. Source: Alexandria, functional SCAN.

Properties
- V (Å³ per atom) = 29.949
- crystal system = tetragonal
- energy relative to the elements (meV/atom) = 252
- E above lowest polymorph (eV per atom) = 0.0000

Geometry as CIF:
```
data_SrCa2Ru
_chemical_formula_sum 'Sr1 Ca2 Ru1'
_cell_length_a 3.540
_cell_length_b 3.540
_cell_length_c 9.561
_cell_angle_alpha 90.00
_cell_angle_beta 90.00
_cell_angle_gamma 90.00
_symmetry_space_group_name_H-M 'P 1'
_symmetry_Int_Tables_number 1
loop_
_symmetry_equiv_pos_as_xyz
'x,y,z'
loop_
_atom_site_label
_atom_site_fract_x
_atom_site_fract_y
_atom_site_fract_z
Ca1 0.000 0.000 0.164
Ca2 0.000 0.000 0.836
Sr1 0.500 0.500 0.500
Ru1 0.500 0.500 0.000
```

---

A crystal of CaTa4Ru relaxed with PBEsol. Source: Alexandria, functional SCAN.

Properties
- V (Å³ per atom) = 18.933
- crystal system = cubic
- energy relative to the elements (meV/atom) = 489

Geometry as CIF:
```
data_CaTa4Ru
_chemical_formula_sum 'Ca1 Ta4 Ru1'
_cell_length_a 5.436
_cell_length_b 5.436
_cell_length_c 5.436
_cell_angle_alpha 60.00
_cell_angle_beta 60.00
_cell_angle_gamma 60.00
_symmetry_space_group_name_H-M 'P 1'
_symmetry_Int_Tables_number 1
loop_
_symmetry_equiv_pos_as_xyz
'x,y,z'
loop_
_atom_site_label
_atom_site_fract_x
_atom_site_fract_y
_atom_site_fract_z
Ta1 0.874 0.375 0.375
Ta2 0.375 0.375 0.375
Ta3 0.375 0.375 0.874
Ta4 0.375 0.874 0.375
Ca1 0.750 0.750 0.750
Ru1 0.000 0.000 0.000
```

---

A crystal of CaTa2Ru relaxed with PBEsol. Source: Alexandria, functional SCAN.

Properties
- V (Å³ per atom) = 17.779
- crystal system = cubic
- energy relative to the elements (meV/atom) = 513
- E above lowest polymorph (eV per atom) = 0.1330

Geometry as CIF:
```
data_CaTa2Ru
_chemical_formula_sum 'Ca1 Ta2 Ru1'
_cell_length_a 4.650
_cell_length_b 4.650
_cell_length_c 4.650
_cell_angle_alpha 60.00
_cell_angle_beta 60.00
_cell_angle_gamma 60.00
_symmetry_space_group_name_H-M 'P 1'
_symmetry_Int_Tables_number 1
loop_
_symmetry_equiv_pos_as_xyz
'x,y,z'
loop_
_atom_site_label
_atom_site_fract_x
_atom_site_fract_y
_atom_site_fract_z
Ca1 0.500 0.500 0.500
Ru1 0.250 0.250 0.250
Ta1 0.000 0.000 0.000
Ta2 0.750 0.750 0.750
```

---

A crystal of Ca2TaRu relaxed with PBEsol. Source: Alexandria, functional SCAN.

Properties
- V (Å³ per atom) = 24.364
- crystal system = tetragonal
- energy relative to the elements (meV/atom) = 67
- E above lowest polymorph (eV per atom) = 0.0000

Geometry as CIF:
```
data_Ca2TaRu
_chemical_formula_sum 'Ca2 Ta1 Ru1'
_cell_length_a 3.287
_cell_length_b 3.287
_cell_length_c 9.020
_cell_angle_alpha 90.00
_cell_angle_beta 90.00
_cell_angle_gamma 90.00
_symmetry_space_group_name_H-M 'P 1'
_symmetry_Int_Tables_number 1
loop_
_symmetry_equiv_pos_as_xyz
'x,y,z'
loop_
_atom_site_label
_atom_site_fract_x
_atom_site_fract_y
_atom_site_fract_z
Ca1 0.000 0.000 0.945
Ca2 0.500 0.500 0.322
Ru1 0.000 0.000 0.554
Ta1 0.500 0.500 0.679
```

---

A crystal of Ca2TaRu relaxed with PBEsol. Source: Alexandria, functional SCAN.

Properties
- V (Å³ per atom) = 19.568
- crystal system = tetragonal
- energy relative to the elements (meV/atom) = 551
- E above lowest polymorph (eV per atom) = 0.4842

Geometry as CIF:
```
data_Ca2TaRu
_chemical_formula_sum 'Ca2 Ta1 Ru1'
_cell_length_a 3.897
_cell_length_b 3.897
_cell_length_c 5.845
_cell_angle_alpha 109.47
_cell_angle_beta 109.47
_cell_angle_gamma 90.00
_symmetry_space_group_name_H-M 'P 1'
_symmetry_Int_Tables_number 1
loop_
_symmetry_equiv_pos_as_xyz
'x,y,z'
loop_
_atom_site_label
_atom_site_fract_x
_atom_site_fract_y
_atom_site_fract_z
Ru1 0.500 0.500 0.000
Ca1 0.750 0.250 0.500
Ca2 0.250 0.750 0.500
Ta1 0.000 0.000 0.000
```

---

A crystal of CaTaRu relaxed with PBEsol. Source: Alexandria, functional SCAN.

Properties
- V (Å³ per atom) = 20.315
- crystal system = cubic
- energy relative to the elements (meV/atom) = 847
- E above lowest polymorph (eV per atom) = 0.7527

Geometry as CIF:
```
data_CaTaRu
_chemical_formula_sum 'Ca1 Ta1 Ru1'
_cell_length_a 4.417
_cell_length_b 4.417
_cell_length_c 4.417
_cell_angle_alpha 60.00
_cell_angle_beta 60.00
_cell_angle_gamma 60.00
_symmetry_space_group_name_H-M 'P 1'
_symmetry_Int_Tables_number 1
loop_
_symmetry_equiv_pos_as_xyz
'x,y,z'
loop_
_atom_site_label
_atom_site_fract_x
_atom_site_fract_y
_atom_site_fract_z
Ta1 0.250 0.250 0.250
Ru1 0.500 0.500 0.500
Ca1 0.000 0.000 0.000
```

---

A crystal of Ca2TaRu relaxed with PBEsol. Source: Alexandria, functional SCAN.

Properties
- V (Å³ per atom) = 20.461
- crystal system = tetragonal
- energy relative to the elements (meV/atom) = 703
- E above lowest polymorph (eV per atom) = 0.6363

Geometry as CIF:
```
data_Ca2TaRu
_chemical_formula_sum 'Ca2 Ta1 Ru1'
_cell_length_a 2.894
_cell_length_b 2.894
_cell_length_c 9.769
_cell_angle_alpha 90.00
_cell_angle_beta 90.00
_cell_angle_gamma 90.00
_symmetry_space_group_name_H-M 'P 1'
_symmetry_Int_Tables_number 1
loop_
_symmetry_equiv_pos_as_xyz
'x,y,z'
loop_
_atom_site_label
_atom_site_fract_x
_atom_site_fract_y
_atom_site_fract_z
Ca1 0.000 0.000 0.223
Ca2 0.000 0.000 0.777
Ru1 0.500 0.500 0.000
Ta1 0.500 0.500 0.500
```

---

A crystal of CaTa2Ru relaxed with PBEsol. Source: Alexandria, functional SCAN.

Properties
- V (Å³ per atom) = 18.140
- crystal system = orthorhombic
- energy relative to the elements (meV/atom) = 380
- E above lowest polymorph (eV per atom) = 0.0000

Geometry as CIF:
```
data_CaTa2Ru
_chemical_formula_sum 'Ca1 Ta2 Ru1'
_cell_length_a 3.133
_cell_length_b 5.557
_cell_length_c 4.887
_cell_angle_alpha 116.07
_cell_angle_beta 90.00
_cell_angle_gamma 106.37
_symmetry_space_group_name_H-M 'P 1'
_symmetry_Int_Tables_number 1
loop_
_symmetry_equiv_pos_as_xyz
'x,y,z'
loop_
_atom_site_label
_atom_site_fract_x
_atom_site_fract_y
_atom_site_fract_z
Ta1 0.977 0.953 0.977
Ta2 0.739 0.478 0.239
Ca1 0.518 0.037 0.518
Ru1 0.266 0.532 0.766
```

---

A crystal of CaTa2Ru relaxed with PBEsol. Source: Alexandria, functional SCAN.

Properties
- V (Å³ per atom) = 18.622
- crystal system = trigonal
- energy relative to the elements (meV/atom) = 483
- E above lowest polymorph (eV per atom) = 0.1029

Geometry as CIF:
```
data_CaTa2Ru
_chemical_formula_sum 'Ca1 Ta2 Ru1'
_cell_length_a 2.959
_cell_length_b 2.959
_cell_length_c 9.968
_cell_angle_alpha 81.46
_cell_angle_beta 81.46
_cell_angle_gamma 60.00
_symmetry_space_group_name_H-M 'P 1'
_symmetry_Int_Tables_number 1
loop_
_symmetry_equiv_pos_as_xyz
'x,y,z'
loop_
_atom_site_label
_atom_site_fract_x
_atom_site_fract_y
_atom_site_fract_z
Ca1 0.500 0.500 0.500
Ta1 0.738 0.738 0.786
Ta2 0.262 0.262 0.214
Ru1 0.000 0.000 0.000
```

---

A crystal of Ca2TaRu relaxed with PBEsol. Source: Alexandria, functional SCAN.

Properties
- V (Å³ per atom) = 19.612
- crystal system = tetragonal
- energy relative to the elements (meV/atom) = 546
- E above lowest polymorph (eV per atom) = 0.4798

Geometry as CIF:
```
data_Ca2TaRu
_chemical_formula_sum 'Ca2 Ta1 Ru1'
_cell_length_a 3.903
_cell_length_b 3.903
_cell_length_c 5.151
_cell_angle_alpha 90.00
_cell_angle_beta 90.00
_cell_angle_gamma 90.00
_symmetry_space_group_name_H-M 'P 1'
_symmetry_Int_Tables_number 1
loop_
_symmetry_equiv_pos_as_xyz
'x,y,z'
loop_
_atom_site_label
_atom_site_fract_x
_atom_site_fract_y
_atom_site_fract_z
Ca1 0.500 0.000 0.000
Ca2 0.000 0.500 0.000
Ta1 0.000 0.000 0.500
Ru1 0.500 0.500 0.500
```

---

A crystal of CaTaRu relaxed with PBEsol. Source: Alexandria, functional SCAN.

Properties
- V (Å³ per atom) = 19.924
- crystal system = tetragonal
- energy relative to the elements (meV/atom) = 94
- E above lowest polymorph (eV per atom) = 0.0000

Geometry as CIF:
```
data_CaTaRu
_chemical_formula_sum 'Ca1 Ta1 Ru1'
_cell_length_a 3.229
_cell_length_b 3.229
_cell_length_c 6.169
_cell_angle_alpha 105.17
_cell_angle_beta 105.17
_cell_angle_gamma 90.00
_symmetry_space_group_name_H-M 'P 1'
_symmetry_Int_Tables_number 1
loop_
_symmetry_equiv_pos_as_xyz
'x,y,z'
loop_
_atom_site_label
_atom_site_fract_x
_atom_site_fract_y
_atom_site_fract_z
Ru1 0.307 0.307 0.614
Ca1 0.991 0.991 0.981
Ta1 0.702 0.702 0.405
```

---

A crystal of CaTaRu3 relaxed with PBEsol. Source: Alexandria, functional SCAN.

Properties
- V (Å³ per atom) = 20.787
- crystal system = cubic
- energy relative to the elements (meV/atom) = 848
- E above lowest polymorph (eV per atom) = 0.0000

Geometry as CIF:
```
data_CaTaRu3
_chemical_formula_sum 'Ca1 Ta1 Ru3'
_cell_length_a 4.702
_cell_length_b 4.702
_cell_length_c 4.702
_cell_angle_alpha 90.00
_cell_angle_beta 90.00
_cell_angle_gamma 90.00
_symmetry_space_group_name_H-M 'P 1'
_symmetry_Int_Tables_number 1
loop_
_symmetry_equiv_pos_as_xyz
'x,y,z'
loop_
_atom_site_label
_atom_site_fract_x
_atom_site_fract_y
_atom_site_fract_z
Ru1 0.000 0.000 0.500
Ru2 0.000 0.500 0.000
Ru3 0.500 0.000 0.000
Ca1 0.500 0.500 0.500
Ta1 0.000 0.000 0.000
```

---

A crystal of CaTcRu relaxed with PBEsol. Source: Alexandria, functional SCAN.

Properties
- V (Å³ per atom) = 18.142
- crystal system = tetragonal
- energy relative to the elements (meV/atom) = 274

Geometry as CIF:
```
data_CaTcRu
_chemical_formula_sum 'Ca1 Tc1 Ru1'
_cell_length_a 3.034
_cell_length_b 3.034
_cell_length_c 6.290
_cell_angle_alpha 103.97
_cell_angle_beta 103.97
_cell_angle_gamma 89.98
_symmetry_space_group_name_H-M 'P 1'
_symmetry_Int_Tables_number 1
loop_
_symmetry_equiv_pos_as_xyz
'x,y,z'
loop_
_atom_site_label
_atom_site_fract_x
_atom_site_fract_y
_atom_site_fract_z
Ru1 0.304 0.304 0.607
Tc1 0.698 0.698 0.396
Ca1 0.998 0.998 0.997
```

---

A crystal of CaTeRu2 relaxed with PBEsol. Source: Alexandria, functional SCAN.

Properties
- V (Å³ per atom) = 21.574
- ΔE_f (raw) (eV/f.u.) = 0.03
- crystal system = monoclinic

Geometry as CIF:
```
data_CaTeRu2
_chemical_formula_sum 'Ca1 Te1 Ru2'
_cell_length_a 4.461
_cell_length_b 4.461
_cell_length_c 5.625
_cell_angle_alpha 113.23
_cell_angle_beta 90.00
_cell_angle_gamma 120.00
_symmetry_space_group_name_H-M 'P 1'
_symmetry_Int_Tables_number 1
loop_
_symmetry_equiv_pos_as_xyz
'x,y,z'
loop_
_atom_site_label
_atom_site_fract_x
_atom_site_fract_y
_atom_site_fract_z
Ru1 0.693 0.386 0.580
Ru2 0.307 0.614 0.420
Te1 0.000 0.000 0.500
Ca1 0.500 0.000 0.000
```

---

A crystal of CaTeRu2 relaxed with PBEsol. Source: Alexandria, functional SCAN.

Properties
- V (Å³ per atom) = 18.722
- ΔE_f (raw) (eV/f.u.) = 1.14
- crystal system = monoclinic

Geometry as CIF:
```
data_CaTeRu2
_chemical_formula_sum 'Ca1 Te1 Ru2'
_cell_length_a 3.073
_cell_length_b 4.201
_cell_length_c 5.969
_cell_angle_alpha 90.00
_cell_angle_beta 103.65
_cell_angle_gamma 90.00
_symmetry_space_group_name_H-M 'P 1'
_symmetry_Int_Tables_number 1
loop_
_symmetry_equiv_pos_as_xyz
'x,y,z'
loop_
_atom_site_label
_atom_site_fract_x
_atom_site_fract_y
_atom_site_fract_z
Ru1 0.658 0.000 0.792
Ru2 0.342 0.000 0.208
Te1 0.500 0.500 0.000
Ca1 0.000 0.500 0.500
```

---

A crystal of CaTiRu3 relaxed with PBEsol. Source: Alexandria, functional SCAN.

Properties
- V (Å³ per atom) = 17.747
- crystal system = cubic
- energy relative to the elements (meV/atom) = 2096

Geometry as CIF:
```
data_CaTiRu3
_chemical_formula_sum 'Ca1 Ti1 Ru3'
_cell_length_a 4.460
_cell_length_b 4.460
_cell_length_c 4.460
_cell_angle_alpha 90.00
_cell_angle_beta 90.00
_cell_angle_gamma 90.00
_symmetry_space_group_name_H-M 'P 1'
_symmetry_Int_Tables_number 1
loop_
_symmetry_equiv_pos_as_xyz
'x,y,z'
loop_
_atom_site_label
_atom_site_fract_x
_atom_site_fract_y
_atom_site_fract_z
Ca1 0.000 0.000 0.000
Ru1 0.500 0.000 0.000
Ru2 0.000 0.500 0.000
Ru3 0.000 0.000 0.500
Ti1 0.500 0.500 0.500
```